Material: As4Au
Method: DFT, PBE
State: relaxed Values from VASP.

**Space-group type**: I4/m, No. 87
**Formation energy from the elements**: 0.275 eV/atom
**Energy above the most stable polymorph in this dataset**: 264 meV/atom
**DOS at the Fermi energy**: 0.84 states/eV/f.u.

Cell and atoms, written as Quantum ESPRESSO input:
```
&SYSTEM
  ibrav = 0, nat = 5, ntyp = 2
/
ATOMIC_SPECIES
As 74.92 As.upf
Au 196.97 Au.upf
ATOMIC_POSITIONS angstrom
As 6.126 0.686 0.000
As 0.686 1.682 0.000
As 3.218 2.222 2.044
As -2.222 3.218 2.044
Au 0.000 0.000 2.044
CELL_PARAMETERS angstrom
-3.904 3.904 2.044
3.904 -3.904 2.044
3.904 3.904 -2.044
```

Material: TaNb3Ag
Method: DFT, PBE
State: relaxed Values from VASP.

**Space-group type**: Pm-3m, No. 221
**Formation energy from the elements**: 1.939 eV/atom
**Energy above the most stable polymorph in this dataset**: 455 meV/atom
**DOS at the Fermi energy**: 8.38 states/eV/f.u.

Cell and atoms, written as Quantum ESPRESSO input:
```
&SYSTEM
  ibrav = 0, nat = 5, ntyp = 3
/
ATOMIC_SPECIES
Ta 180.95 Ta.upf
Nb 92.91 Nb.upf
Ag 107.87 Ag.upf
ATOMIC_POSITIONS angstrom
Ta 0.000 0.000 0.000
Nb 0.000 2.429 2.429
Nb 2.429 0.000 2.429
Nb 2.429 2.429 0.000
Ag 2.429 2.429 2.429
CELL_PARAMETERS angstrom
4.858 0.000 0.000
0.000 4.858 0.000
0.000 0.000 4.858
```

Material: Ac6SbPb5
Method: DFT, PBE
State: relaxed Values from VASP.

**Space-group type**: C2/m, No. 12
**DOS at the Fermi energy**: 13.76 states/eV/f.u.

Cell and atoms, written as Quantum ESPRESSO input:
```
&SYSTEM
  ibrav = 0, nat = 12, ntyp = 3
/
ATOMIC_SPECIES
Ac 227.00 Ac.upf
Sb 121.76 Sb.upf
Pb 207.20 Pb.upf
ATOMIC_POSITIONS angstrom
Ac -0.018 2.356 5.992
Ac 1.336 0.000 2.059
Ac -0.018 -2.356 5.992
Ac 5.612 2.356 2.055
Ac 4.258 0.000 5.989
Ac 5.612 -2.356 2.055
Sb -1.386 0.000 4.024
Pb 4.183 4.789 0.000
Pb 2.797 2.398 4.024
Pb 4.183 0.000 0.000
Pb 2.797 -2.398 4.024
Pb 4.183 -4.789 0.000
CELL_PARAMETERS angstrom
4.183 -7.220 0.000
4.183 7.220 0.000
-2.772 0.000 8.047
```

Material: Ce5In2Os
Method: DFT, PBE
State: relaxed Values from VASP.

**Space-group type**: I4mm, No. 107
**Formation energy from the elements**: -0.127 eV/atom
**Energy above the most stable polymorph in this dataset**: 0 meV/atom
**DOS at the Fermi energy**: 17.87 states/eV/f.u.

Cell and atoms, written as Quantum ESPRESSO input:
```
&SYSTEM
  ibrav = 0, nat = 8, ntyp = 3
/
ATOMIC_SPECIES
Ce 140.12 Ce.upf
In 114.82 In.upf
Os 190.23 Os.upf
ATOMIC_POSITIONS angstrom
Ce 0.000 0.000 0.000
Ce 1.838 1.838 -1.832
Ce 1.523 -1.523 2.754
Ce -1.523 1.523 2.754
Ce 1.523 1.523 2.754
In 3.361 0.000 0.514
In 0.000 3.361 0.514
Os 0.000 0.000 6.203
CELL_PARAMETERS angstrom
-3.361 3.361 4.586
3.361 -3.361 4.586
3.361 3.361 -4.586
```

Material: CaHgAs2
Method: DFT, PBE
State: relaxed Values from VASP.

**Space-group type**: P2/m, No. 10
**Formation energy from the elements**: -0.423 eV/atom
**DOS at the Fermi energy**: 1.13 states/eV/f.u.

Cell and atoms, written as Quantum ESPRESSO input:
```
&SYSTEM
  ibrav = 0, nat = 4, ntyp = 3
/
ATOMIC_SPECIES
Ca 40.08 Ca.upf
Hg 200.59 Hg.upf
As 74.92 As.upf
ATOMIC_POSITIONS angstrom
Ca 0.000 0.000 0.000
Hg -0.011 0.000 3.220
As 1.997 2.024 5.249
As 2.018 2.024 1.190
CELL_PARAMETERS angstrom
4.036 0.000 0.000
0.000 4.047 0.000
-0.021 0.000 6.439
```

Material: HfZn5Ag
Method: DFT, PBE
State: relaxed Values from VASP.

**Space-group type**: Pnma, No. 62
**Formation energy from the elements**: -0.042 eV/atom
**DOS at the Fermi energy**: 4.33 states/eV/f.u.

Cell and atoms, written as Quantum ESPRESSO input:
```
&SYSTEM
  ibrav = 0, nat = 28, ntyp = 3
/
ATOMIC_SPECIES
Hf 178.49 Hf.upf
Zn 65.41 Zn.upf
Ag 107.87 Ag.upf
ATOMIC_POSITIONS angstrom
Hf 2.030 1.251 0.742
Hf 2.191 3.752 6.022
Hf 6.251 1.251 4.539
Hf 6.412 3.752 9.820
Zn 0.287 3.752 0.950
Zn 0.499 0.046 3.241
Zn 0.499 2.456 3.241
Zn 0.709 1.251 5.467
Zn 1.717 1.251 7.829
Zn 2.504 3.752 2.548
Zn 3.512 3.752 0.186
Zn 3.722 2.547 8.521
Zn 3.722 4.957 8.521
Zn 3.934 1.251 6.231
Zn 4.508 3.752 4.331
Zn 4.720 0.046 2.040
Zn 4.720 2.456 2.040
Zn 4.930 1.251 10.375
Zn 5.938 1.251 8.013
Zn 6.726 3.752 2.733
Zn 7.734 3.752 5.095
Zn 7.943 2.547 7.321
Zn 7.943 4.957 7.321
Zn 8.155 1.251 9.612
Ag 1.243 3.752 9.099
Ag 2.978 1.251 3.819
Ag 5.464 3.752 6.743
Ag 7.199 1.251 1.462
CELL_PARAMETERS angstrom
8.442 0.000 0.000
0.000 5.003 0.000
0.000 0.000 10.562
```

Material: Li2MgIn2Ag5
Method: DFT, PBE
State: relaxed Values from VASP.

**Space-group type**: P4/mbm, No. 127
**Formation energy from the elements**: -0.129 eV/atom
**DOS at the Fermi energy**: 2.21 states/eV/f.u.

Cell and atoms, written as Quantum ESPRESSO input:
```
&SYSTEM
  ibrav = 0, nat = 20, ntyp = 4
/
ATOMIC_SPECIES
Li 6.94 Li.upf
Mg 24.30 Mg.upf
In 114.82 In.upf
Ag 107.87 Ag.upf
ATOMIC_POSITIONS angstrom
Li 1.155 3.585 0.000
Li 3.585 8.325 0.000
Li 5.895 1.155 0.000
Li 8.325 5.895 0.000
Mg 0.000 0.000 0.000
Mg 4.740 4.740 0.000
In 1.624 6.364 0.000
In 3.116 1.624 0.000
In 6.364 7.856 0.000
In 7.856 3.116 0.000
Ag 0.000 4.740 2.057
Ag 0.806 1.874 2.057
Ag 1.874 8.674 2.057
Ag 2.866 3.934 2.057
Ag 3.934 6.614 2.057
Ag 4.740 0.000 2.057
Ag 5.546 2.866 2.057
Ag 6.614 5.546 2.057
Ag 7.606 0.806 2.057
Ag 8.674 7.606 2.057
CELL_PARAMETERS angstrom
9.480 0.000 0.000
0.000 9.480 0.000
0.000 0.000 4.113
```

Material: GaSi2HS
Method: DFT, PBE
State: relaxed Values from VASP.

**Space-group type**: P1, No. 1
**Energy above the most stable polymorph in this dataset**: 263 meV/atom
**DOS at the Fermi energy**: 0.56 states/eV/f.u.

Cell and atoms, written as Quantum ESPRESSO input:
```
&SYSTEM
  ibrav = 0, nat = 5, ntyp = 4
/
ATOMIC_SPECIES
Ga 69.72 Ga.upf
Si 28.09 Si.upf
H 1.01 H.upf
S 32.06 S.upf
ATOMIC_POSITIONS angstrom
Ga 0.000 0.000 0.000
Si 1.403 1.995 2.931
Si 3.012 2.208 1.007
H 1.417 0.521 3.174
S 2.970 2.868 4.264
CELL_PARAMETERS angstrom
3.146 0.000 0.000
-0.055 4.421 0.000
-0.152 -1.865 6.603
```

Material: YbZnIn
Method: DFT, PBE
State: relaxed Values from VASP.

**Space-group type**: P6_3/mmc, No. 194
**Formation energy from the elements**: -0.400 eV/atom
**DOS at the Fermi energy**: 1.63 states/eV/f.u.

Cell and atoms, written as Quantum ESPRESSO input:
```
&SYSTEM
  ibrav = 0, nat = 6, ntyp = 3
/
ATOMIC_SPECIES
Yb 173.04 Yb.upf
Zn 65.41 Zn.upf
In 114.82 In.upf
ATOMIC_POSITIONS angstrom
Yb 0.000 0.000 0.000
Yb 0.000 0.000 3.576
Zn 0.000 2.752 1.788
Zn 2.383 1.376 5.364
In 0.000 2.752 5.364
In 2.383 1.376 1.788
CELL_PARAMETERS angstrom
4.766 0.000 0.000
-2.383 4.128 0.000
0.000 0.000 7.152
```

Material: MgRe2Ru
Method: DFT, PBE
State: relaxed Values from VASP.

**Space-group type**: Immm, No. 71
**Formation energy from the elements**: 0.109 eV/atom
**DOS at the Fermi energy**: 2.31 states/eV/f.u.

Cell and atoms, written as Quantum ESPRESSO input:
```
&SYSTEM
  ibrav = 0, nat = 4, ntyp = 3
/
ATOMIC_SPECIES
Mg 24.30 Mg.upf
Re 186.21 Re.upf
Ru 101.07 Ru.upf
ATOMIC_POSITIONS angstrom
Mg 0.000 0.000 0.000
Re 1.541 0.000 2.282
Re 0.000 2.148 2.212
Ru 0.000 0.000 4.494
CELL_PARAMETERS angstrom
-1.541 2.148 4.494
1.541 -2.148 4.494
1.541 2.148 -4.494
```

Material: YTaSe
Method: DFT, PBE
State: relaxed Values from VASP.

**Space-group type**: P3m1, No. 156
**Energy above the most stable polymorph in this dataset**: 0 meV/atom
**DOS at the Fermi energy**: 0.58 states/eV/f.u.

Cell and atoms, written as Quantum ESPRESSO input:
```
&SYSTEM
  ibrav = 0, nat = 3, ntyp = 3
/
ATOMIC_SPECIES
Y 88.91 Y.upf
Ta 180.95 Ta.upf
Se 78.96 Se.upf
ATOMIC_POSITIONS angstrom
Y 0.000 0.000 0.000
Ta 0.000 2.033 3.858
Se 1.760 1.016 2.170
CELL_PARAMETERS angstrom
3.521 0.000 0.000
-1.760 3.049 0.000
0.000 0.000 6.254
```

Material: CeErMg2Cd4
Method: DFT, PBE
State: relaxed Values from VASP.

**Space-group type**: R-3m, No. 166
**Formation energy from the elements**: -0.258 eV/atom
**DOS at the Fermi energy**: 8.75 states/eV/f.u.

Cell and atoms, written as Quantum ESPRESSO input:
```
&SYSTEM
  ibrav = 0, nat = 8, ntyp = 4
/
ATOMIC_SPECIES
Ce 140.12 Ce.upf
Er 167.26 Er.upf
Mg 24.30 Mg.upf
Cd 112.41 Cd.upf
ATOMIC_POSITIONS angstrom
Ce 0.000 0.000 0.000
Er 0.000 0.000 12.604
Mg 0.000 0.000 6.294
Mg 0.000 0.000 18.913
Cd 0.000 0.000 3.217
Cd 0.000 0.000 9.532
Cd 0.000 0.000 15.675
Cd 0.000 0.000 21.990
CELL_PARAMETERS angstrom
2.558 1.477 8.402
-2.558 1.477 8.402
0.000 -2.953 8.402
```

no.,E_tot (eV per atom)
1,-4.101
2,-7.044
3,-4.470
4,-5.924
5,-3.324
6,-2.781
7,-2.645
8,-4.240
9,-2.246
10,-8.833
11,-7.740
12,-2.426